The following is a DFT calculation (PBE) of crystalline Mn2Zn3Co at its relaxed geometry.

The structure in extended XYZ format:
```
12
Lattice="2.654 -3.836 0.000 2.654 3.836 0.000 -2.568 0.000 7.898" Properties=species:S:1:pos:R:3 pbc="T T T"
Mn 0.672 0.954 0.632
Mn -0.612 -0.954 4.581
Mn 3.352 0.954 3.317
Mn 2.069 -0.954 7.266
Zn 0.699 0.965 3.224
Zn 0.728 0.959 5.924
Zn -0.585 -0.965 7.173
Zn 3.325 0.965 0.725
Zn 2.012 -0.959 1.975
Zn 2.041 -0.965 4.675
Co 2.012 2.884 1.975
Co 0.728 -2.884 5.924
```

Computed properties:
ΔH_f (0 K), meV/atom: 67
Calculated volume, Å³/cell: 161
Uncorrected energy, eV/atom: -4.811